Entry from the Alexandria database: crystalline BaBTeI2 at its relaxed geometry (PBEsol).

The space group is P4/mmm (No. 123) and the conventional cell measures 5.383, 5.383 and 5.016 Å, with angles of 90.00, 90.00 and 90.00 degrees. Symmetry generates all atoms from Ba at (0.000, 0.000, 0.000), B at (0.500, 0.500, 0.500), Te at (0.500, 0.500, 0.000) and I at (0.000, 0.500, 0.500).

The density is 6.05 Mg/m³. The density of states at the Fermi level is 2.54 states/eV/f.u. The value obtained for the uncorrected formation energy is -1.57 eV per formula unit.